MgInMoO2 | PBE with a Hubbard U | relaxed

Cell: 4.1992 4.1992 5.6737 Å, 90.00 90.00 90.00°
Closest atoms and distances in Å follow each position.
Element x y z (fractional)
1 Mg 0.0000 0.0000 0.0000  2 In 2.84, 4 Mo 2.97
2 In 0.0000 0.0000 0.5000  4 O 2.10
3 Mo 0.5000 0.5000 0.0000  4 Mg 2.97
4 O 0.0000 0.5000 0.5000  2 In 2.10
5 O 0.5000 0.0000 0.5000  2 In 2.10

Computed properties:
For the total moment, the calculation gives 4.85 μB/cell. The value obtained for the calculated volume is 100.05 Å³ per cell. As for the raw total energy: -3.95 eV per atom.